Record 1
Tb2Ce2Rh3: optimized geometry, PBE.

a b c (Å): 7.498 7.498 7.498
angles (deg): 109.47 109.47 109.47
Site moments in Bohr magnetons follow the coordinates.
Fractional positions:
Tb (0.000, 0.000, 0.882)  0.02
Tb (0.500, 0.882, 0.500)  0.02
Tb (0.118, 0.618, 0.618)  0.02
Tb (0.382, 0.500, 0.000)  0.02
Ce (0.500, 0.383, 0.500)  0.53
Ce (0.000, 0.000, 0.383)  0.53
Ce (0.617, 0.117, 0.117)  0.53
Ce (0.883, 0.500, 0.000)  0.53
Rh (0.750, 0.638, 0.388)  -0.03
Rh (0.250, 0.862, 0.112)  -0.03
Rh (0.612, 0.750, 0.862)  -0.03
Rh (0.888, 0.250, 0.638)  -0.03
Rh (0.362, 0.112, 0.750)  -0.03
Rh (0.138, 0.388, 0.250)  -0.03

Values from the calculation:
**Space group**: I2_13 (199)
**E**: -48.2 eV per formula unit
**Energy above the lowest structure with this stoichiometry**: 0.000 eV per formula unit
**Calculated volume**: 324 Å³ per cell
**Formation enthalpy at 0 K**: -0.714 eV/atom

Record 2
TbCeRh2: optimized geometry, PBE.

a b c (Å): 3.804 4.231 5.668
angles (deg): 90.00 109.65 90.00
Site moments in Bohr magnetons follow the coordinates.
Fractional positions:
Tb (0.445, 0.500, 0.430)  0.00
Ce (0.725, 0.000, 0.988)  0.05
Rh (0.174, 0.500, 0.887)  -0.01
Rh (0.987, 0.000, 0.513)  0.00

Values from the calculation:
**Space group**: Amm2 (38)
**E**: -28.5 eV per formula unit
**Calculated volume**: 86 Å³ per cell
**Formation enthalpy at 0 K**: -0.807 eV/atom

Record 3
TbCeRh: optimized geometry, PBE.

a b c (Å): 7.064 6.923 7.197
angles (deg): 66.25 90.00 90.00
Site moments in Bohr magnetons follow the coordinates.
Fractional positions:
Tb (0.181, 0.703, 0.929)  0.10
Tb (0.319, 0.703, 0.429)  0.10
Tb (0.819, 0.297, 0.071)  0.10
Tb (0.681, 0.297, 0.571)  0.10
Ce (0.672, 0.801, 0.021)  0.73
Ce (0.328, 0.199, 0.979)  0.73
Ce (0.172, 0.199, 0.479)  0.73
Ce (0.828, 0.801, 0.521)  0.73
Rh (0.555, 0.569, 0.779)  -0.02
Rh (0.445, 0.431, 0.221)  -0.02
Rh (0.945, 0.569, 0.279)  -0.02
Rh (0.055, 0.431, 0.721)  -0.02

Values from the calculation:
**Space group**: P2_1/c (14)
**E**: -19.2 eV per formula unit
**Energy above the lowest structure with this stoichiometry**: 0.088 eV per formula unit
**Calculated volume**: 322 Å³ per cell
**Formation enthalpy at 0 K**: -0.428 eV/atom